The following is a DFT calculation (PBE) of a geometry-optimized Sm3Nb5H12 structure.

Results
SG = No. 230
raw total energy = -5.49 eV per atom
calculated volume = 10.98 A^3/atom

```
Sm3Nb5H12
1.0
-6.0339 6.0339 6.0339
6.0339 -6.0339 6.0339
6.0339 6.0339 -6.0339
Sm Nb H
12 20 48
Cartesian
3.0170 1.5085 0.0000 Sm
6.0339 3.0170 -1.5085 Sm
1.5085 0.0000 3.0170 Sm
7.5424 0.0000 3.0170 Sm
0.0000 3.0170 1.5085 Sm
3.0170 -1.5085 6.0339 Sm
3.0170 7.5424 0.0000 Sm
6.0339 3.0170 4.5254 Sm
-1.5085 6.0339 3.0170 Sm
4.5254 6.0339 3.0170 Sm
0.0000 3.0170 7.5424 Sm
3.0170 4.5254 6.0339 Sm
0.0000 0.0000 0.0000 Nb
3.0170 3.0170 -3.0170 Nb
3.0170 -3.0170 3.0170 Nb
6.0339 0.0000 0.0000 Nb
9.0509 1.5085 0.0000 Nb
6.0339 -3.0170 4.5254 Nb
4.5254 6.0339 -3.0170 Nb
4.5254 0.0000 3.0170 Nb
3.0170 4.5254 0.0000 Nb
6.0339 3.0170 1.5085 Nb
-3.0170 3.0170 3.0170 Nb
0.0000 6.0339 0.0000 Nb
0.0000 0.0000 6.0339 Nb
3.0170 3.0170 3.0170 Nb
0.0000 3.0170 4.5254 Nb
3.0170 1.5085 6.0339 Nb
1.5085 6.0339 3.0170 Nb
1.5085 0.0000 9.0509 Nb
0.0000 9.0509 1.5085 Nb
-3.0170 4.5254 6.0339 Nb
1.7705 -0.2370 0.7544 H
7.2804 3.7713 -3.2540 H
7.8044 0.2370 0.7544 H
7.2804 -2.2626 3.2540 H
5.7969 -0.7544 1.7705 H
9.2879 -1.2465 2.2626 H
0.7544 1.7705 -0.2370 H
8.2965 2.7799 -1.2465 H
3.7713 3.2540 -1.2465 H
5.2796 1.7705 0.2370 H
-0.2370 0.7544 1.7705 H
3.2540 -1.2465 3.7713 H
5.7969 5.2796 -1.7705 H
3.2540 1.2465 2.2626 H
3.7713 -3.2540 7.2804 H
5.2796 -1.7705 5.7969 H
2.2626 3.2540 1.2465 H
6.7883 4.2634 0.2370 H
3.2540 7.2804 -2.2626 H
5.7969 0.7544 4.2634 H
1.7705 5.7969 -0.7544 H
7.2804 2.2626 2.7799 H
1.2465 2.2626 3.2540 H
1.7705 0.2370 5.2796 H
4.2634 5.7969 0.7544 H
4.7874 3.7713 2.7799 H
-1.2465 3.7713 3.2540 H
4.2634 0.2370 6.7883 H
0.2370 5.2796 1.7705 H
2.7799 -1.2465 8.2965 H
-0.7544 1.7705 5.7969 H
3.7713 2.7799 4.7874 H
0.7544 7.8044 0.2370 H
2.2626 9.2879 -1.2465 H
2.7799 4.7874 3.7713 H
0.2370 0.7544 7.8044 H
2.7799 7.2804 2.2626 H
6.2709 5.2796 4.2634 H
0.7544 4.2634 5.7969 H
2.2626 2.7799 7.2804 H
-2.2626 3.2540 7.2804 H
5.2796 4.2634 6.2709 H
-3.2540 7.2804 3.7713 H
0.2370 6.7883 4.2634 H
-1.2465 8.2965 2.7799 H
-1.7705 5.7969 5.2796 H
-1.2465 2.2626 9.2879 H
4.2634 6.2709 5.2796 H
```